Entry 1:
{"formula": "TlAu5Se4", "functional": "PBE-GGA", "state": "relaxed", "vol_a3_per_atom": 28.198, "e_form_raw_mev_per_atom": -77.0, "dos_at_fermi_per_ev_cell": 2.3, "cell": [[4.021, 0.049, 0.005], [-2.054, 9.508, -4.065], [0.006, -1.743, 8.098]], "species": ["Au", "Au", "Au", "Au", "Au", "Se", "Se", "Se", "Se", "Tl"], "frac_coords": [[0.768, 0.537, 0.925], [0.850, 0.699, 0.470], [0.150, 0.301, 0.530], [0.232, 0.463, 0.075], [0.500, 0.000, 0.500], [0.709, 0.413, 0.214], [0.994, 0.987, 0.692], [0.006, 0.013, 0.308], [0.291, 0.587, 0.786], [0.500, 0.000, 0.000]]}



Entry 2:
{"formula": "TlAu2Se", "functional": "PBE-GGA", "state": "relaxed", "vol_a3_per_atom": 22.000, "e_form_raw_mev_per_atom": 226.0, "dos_at_fermi_per_ev_cell": 2.0, "cell": [[4.993, 0.000, 0.000], [2.496, 4.324, 0.000], [2.496, 1.441, 4.076]], "species": ["Au", "Au", "Se", "Tl"], "frac_coords": [[0.000, 0.000, 0.000], [0.750, 0.750, 0.750], [0.500, 0.500, 0.500], [0.250, 0.250, 0.250]]}



Entry 3:
{"formula": "TlAu2Se", "functional": "PBE-GGA", "state": "relaxed", "vol_a3_per_atom": 22.546, "e_form_raw_mev_per_atom": 133.9, "dos_at_fermi_per_ev_cell": 1.1, "cell": [[5.900, 0.792, 0.451], [1.392, 5.788, -0.451], [-2.524, -4.533, 2.953]], "species": ["Au", "Au", "Se", "Tl"], "frac_coords": [[0.987, 0.987, 0.000], [0.513, 0.513, 0.000], [0.750, 0.250, 0.500], [0.250, 0.750, 0.500]]}



Entry 4:
{"formula": "TlAu2Se", "functional": "PBE-GGA", "state": "relaxed", "vol_a3_per_atom": 21.594, "e_form_raw_mev_per_atom": 185.2, "dos_at_fermi_per_ev_cell": 1.2, "cell": [[5.175, 0.060, 0.000], [0.942, 5.089, 0.000], [-3.059, -2.575, 3.287]], "species": ["Au", "Au", "Tl", "Se"], "frac_coords": [[0.500, 0.500, 0.000], [0.000, 0.000, 0.000], [0.750, 0.250, 0.500], [0.250, 0.750, 0.500]]}



Entry 5:
{"formula": "Tl8AuSe3", "functional": "PBE-GGA", "state": "relaxed", "vol_a3_per_atom": 33.622, "e_form_raw_mev_per_atom": -267.3, "dos_at_fermi_per_ev_cell": 2.4, "cell": [[8.707, 0.000, 0.000], [-4.353, 6.154, -4.229], [0.000, -0.605, 7.945]], "species": ["Tl", "Tl", "Tl", "Tl", "Tl", "Tl", "Tl", "Tl", "Se", "Se", "Se", "Au"], "frac_coords": [[0.741, 0.482, 0.726], [0.758, 0.017, 0.273], [0.242, 0.983, 0.727], [0.763, 0.525, 0.285], [0.741, 0.983, 0.727], [0.237, 0.475, 0.715], [0.259, 0.017, 0.273], [0.259, 0.518, 0.274], [0.000, 0.500, 0.000], [0.500, 0.000, 0.000], [0.500, 0.500, 0.000], [0.000, 0.000, 0.000]]}



Entry 6:
{"formula": "Tl2AuSe", "functional": "PBE-GGA", "state": "relaxed", "vol_a3_per_atom": 25.583, "e_form_raw_mev_per_atom": -19.5, "dos_at_fermi_per_ev_cell": 2.1, "cell": [[3.749, 0.038, 0.000], [-0.044, 3.749, 0.000], [0.000, 0.000, 7.279]], "species": ["Au", "Tl", "Tl", "Se"], "frac_coords": [[0.500, 0.500, 0.250], [0.000, 0.000, 0.998], [0.000, 0.000, 0.502], [0.500, 0.500, 0.750]]}



Entry 7:
{"formula": "Tl4AuSe3", "functional": "PBE-GGA", "state": "relaxed", "vol_a3_per_atom": 28.576, "e_form_raw_mev_per_atom": -208.3, "dos_at_fermi_per_ev_cell": 8.6, "cell": [[-3.715, 3.715, 8.280], [3.715, -3.715, 8.280], [3.715, 3.715, -8.280]], "species": ["Tl", "Tl", "Tl", "Tl", "Tl", "Tl", "Tl", "Tl", "Se", "Se", "Se", "Se", "Se", "Se", "Au", "Au"], "frac_coords": [[0.508, 0.008, 0.814], [0.306, 0.492, 0.500], [0.694, 0.508, 0.500], [0.008, 0.194, 0.500], [0.492, 0.992, 0.186], [0.992, 0.806, 0.500], [0.806, 0.306, 0.814], [0.194, 0.694, 0.186], [0.250, 0.250, 0.000], [0.750, 0.750, 0.000], [0.822, 0.322, 0.145], [0.322, 0.178, 0.500], [0.178, 0.678, 0.855], [0.678, 0.822, 0.500], [0.500, 0.500, 0.000], [0.000, 0.000, 0.000]]}



Entry 8:
{"formula": "TlAu2Se", "functional": "PBE-GGA", "state": "relaxed", "vol_a3_per_atom": 28.223, "e_form_raw_mev_per_atom": 39.0, "dos_at_fermi_per_ev_cell": 2.9, "cell": [[5.187, 0.000, 0.000], [0.000, 5.187, 0.000], [2.593, 2.593, 8.392]], "species": ["Au", "Au", "Au", "Au", "Se", "Se", "Tl", "Tl"], "frac_coords": [[0.513, 0.125, 0.250], [0.375, 0.487, 0.750], [0.875, 0.763, 0.750], [0.237, 0.625, 0.250], [0.250, 0.750, 0.500], [0.500, 0.500, 0.000], [0.750, 0.250, 0.500], [0.000, 0.000, 0.000]]}



Entry 9:
{"formula": "Tl2AuSe", "functional": "PBE-GGA", "state": "relaxed", "vol_a3_per_atom": 26.127, "e_form_raw_mev_per_atom": -28.1, "dos_at_fermi_per_ev_cell": 1.4, "cell": [[-4.064, -1.369, -1.925], [-2.273, -0.608, 5.233], [-1.197, 3.684, -0.092]], "species": ["Tl", "Tl", "Se", "Au"], "frac_coords": [[0.000, 0.000, 0.000], [0.500, 0.500, 0.000], [0.000, 0.500, 0.500], [0.500, 0.000, 0.500]]}



Entry 10:
{"formula": "Tl3AuSe", "functional": "PBE-GGA", "state": "relaxed", "vol_a3_per_atom": 44.227, "e_form_raw_mev_per_atom": 252.3, "dos_at_fermi_per_ev_cell": 2.5, "cell": [[-4.819, -1.196, 3.451], [-0.248, -5.593, -2.285], [3.644, -1.963, 4.408]], "species": ["Tl", "Tl", "Tl", "Se", "Au"], "frac_coords": [[0.500, 0.000, 0.000], [0.000, 0.500, 0.000], [0.000, 0.000, 0.500], [0.000, 0.000, 0.000], [0.500, 0.500, 0.500]]}



Entry 11:
{"formula": "Tl2AuSe4", "functional": "PBE-GGA", "state": "relaxed", "vol_a3_per_atom": 31.263, "e_form_raw_mev_per_atom": -149.4, "dos_at_fermi_per_ev_cell": 1.9, "cell": [[-5.611, -4.536, 2.648], [-4.289, -6.110, -4.831], [5.504, -5.017, 2.362]], "species": ["Se", "Se", "Se", "Se", "Se", "Se", "Se", "Se", "Au", "Au", "Tl", "Tl", "Tl", "Tl"], "frac_coords": [[0.377, 0.869, 0.369], [0.597, 0.237, 0.899], [0.592, 0.220, 0.362], [0.142, 0.812, 0.900], [0.922, 0.539, 0.351], [0.927, 0.575, 0.895], [0.130, 0.794, 0.326], [0.369, 0.909, 0.901], [0.647, 0.718, 0.125], [0.852, 0.024, 0.121], [0.792, 0.877, 0.621], [0.258, 0.239, 0.623], [0.628, 0.512, 0.626], [0.268, 0.425, 0.131]]}



Entry 12:
{"formula": "Tl2Au2Se", "functional": "PBE-GGA", "state": "relaxed", "vol_a3_per_atom": 24.700, "e_form_raw_mev_per_atom": -44.4, "dos_at_fermi_per_ev_cell": 2.3, "cell": [[7.354, 0.000, 0.000], [0.000, 7.354, 0.000], [0.000, 0.000, 4.567]], "species": ["Se", "Se", "Tl", "Tl", "Tl", "Tl", "Au", "Au", "Au", "Au"], "frac_coords": [[0.500, 0.500, 0.000], [0.000, 0.000, 0.000], [0.672, 0.828, 0.500], [0.328, 0.172, 0.500], [0.172, 0.672, 0.500], [0.828, 0.328, 0.500], [0.636, 0.136, 0.000], [0.364, 0.864, 0.000], [0.136, 0.364, 0.000], [0.864, 0.636, 0.000]]}